This record from Alexandria via LeMat-Bulk describes RbAuBr4 after structural relaxation. The functional is PBEsol.

Its formation energy (no corrections) is -720 meV per atom.

The structure belongs to space group P2_1/c (No. 14); the cell edges are 7.3583, 6.1474 and 10.3973 Å and the angles 90.00°, 122.84° and 90.00°. The asymmetric unit holds Rb at (0.0000, 0.0000, 0.0000), Au at (0.5000, 0.0000, 0.5000), Br at (0.1093, 0.0153, 0.3770) and Br at (0.4574, 0.7086, 0.3251).